[1]
# Hf2HgOs2 PBE optimized geometry
data_Hf2HgOs2
_cell_length_a 7.6940
_cell_length_b 7.6940
_cell_length_c 3.1887
_cell_angle_alpha 90.00
_cell_angle_beta 90.00
_cell_angle_gamma 90.00
_symmetry_space_group_name_H-M 'P 4/m b m'
_symmetry_Int_Tables_number 127
_symmetry_space_group_name_Hall '-P 4 2ab'
loop_
_atom_site_label
_atom_site_fract_x
_atom_site_fract_y
_atom_site_fract_z
Hf1 0.1527 0.3473 0.0000
Hg1 0.0000 0.0000 0.5000
Os1 0.1418 0.6418 0.5000
# Energy relative to the elements ... -158 meV per atom
# Density of states at the Fermi level ... 0.457 states/eV per atom

---

[2]
# HfTcHgOs2 PBE optimized geometry
data_HfTcHgOs2
_cell_length_a 4.6607
_cell_length_b 4.6607
_cell_length_c 4.9801
_cell_angle_alpha 90.00
_cell_angle_beta 90.00
_cell_angle_gamma 90.00
_symmetry_space_group_name_H-M 'P 4/m m m'
_symmetry_Int_Tables_number 123
_symmetry_space_group_name_Hall '-P 4 2'
loop_
_atom_site_label
_atom_site_fract_x
_atom_site_fract_y
_atom_site_fract_z
Hf1 0.0000 0.0000 0.0000
Tc1 0.5000 0.5000 0.5000
Hg1 0.5000 0.5000 0.0000
Os1 0.0000 0.5000 0.5000
# Energy relative to the elements ... 1518 meV per atom
# Density of states at the Fermi level ... 0.944 states/eV per atom

---

[3]
# HfHgOsW2 PBE optimized geometry
data_HfHgOsW2
_cell_length_a 4.7785
_cell_length_b 4.7785
_cell_length_c 4.9847
_cell_angle_alpha 90.00
_cell_angle_beta 90.00
_cell_angle_gamma 90.00
_symmetry_space_group_name_H-M 'P 4/m m m'
_symmetry_Int_Tables_number 123
_symmetry_space_group_name_Hall '-P 4 2'
loop_
_atom_site_label
_atom_site_fract_x
_atom_site_fract_y
_atom_site_fract_z
Hf1 0.0000 0.0000 0.0000
Hg1 0.5000 0.5000 0.0000
Os1 0.0000 0.0000 0.5000
W1 0.0000 0.5000 0.5000
# Energy relative to the elements ... 1336 meV per atom
# Density of states at the Fermi level ... 0.979 states/eV per atom

---

[4]
# Hf2HgP2 PBE optimized geometry
data_Hf2HgP2
_cell_length_a 7.3839
_cell_length_b 7.3839
_cell_length_c 3.3524
_cell_angle_alpha 90.00
_cell_angle_beta 90.00
_cell_angle_gamma 90.00
_symmetry_space_group_name_H-M 'P 4/m b m'
_symmetry_Int_Tables_number 127
_symmetry_space_group_name_Hall '-P 4 2ab'
loop_
_atom_site_label
_atom_site_fract_x
_atom_site_fract_y
_atom_site_fract_z
Hf1 0.1498 0.3502 0.0000
Hg1 0.0000 0.0000 0.5000
P1 0.1388 0.6388 0.5000
# Energy relative to the elements ... -603 meV per atom
# Energy above the most stable polymorph in this dataset ... 3.77 kJ/mol of atoms
# Density of states at the Fermi level ... 0.330 states/eV per atom

---

[5]
# HfHg2P PBE optimized geometry
data_HfHg2P
_cell_length_a 7.9230
_cell_length_b 7.9230
_cell_length_c 5.4122
_cell_angle_alpha 90.00
_cell_angle_beta 90.00
_cell_angle_gamma 90.00
_symmetry_space_group_name_H-M 'I -4 2 d'
_symmetry_Int_Tables_number 122
_symmetry_space_group_name_Hall 'I -4 2bw'
loop_
_atom_site_label
_atom_site_fract_x
_atom_site_fract_y
_atom_site_fract_z
Hf1 0.0000 0.0000 0.0000
Hg1 0.2256 0.2500 0.6250
P1 0.0000 0.0000 0.5000
# Energy relative to the elements ... 85 meV per atom
# Density of states at the Fermi level ... 0.524 states/eV per atom

---

[6]
# Hf3HgP PBE optimized geometry
data_Hf3HgP
_cell_length_a 4.8047
_cell_length_b 4.8047
_cell_length_c 4.8047
_cell_angle_alpha 90.00
_cell_angle_beta 90.00
_cell_angle_gamma 90.00
_symmetry_space_group_name_H-M 'P m -3 m'
_symmetry_Int_Tables_number 221
_symmetry_space_group_name_Hall '-P 4 2 3'
loop_
_atom_site_label
_atom_site_fract_x
_atom_site_fract_y
_atom_site_fract_z
Hf1 0.0000 0.0000 0.5000
Hg1 0.5000 0.5000 0.5000
P1 0.0000 0.0000 0.0000
# Energy relative to the elements ... -223 meV per atom
# Energy above the most stable polymorph in this dataset ... 0.00 kJ/mol of atoms
# Density of states at the Fermi level ... 0.741 states/eV per atom

---

[7]
# HfHgP2 PBE optimized geometry
data_HfHgP2
_cell_length_a 5.9149
_cell_length_b 5.9149
_cell_length_c 11.8397
_cell_angle_alpha 90.00
_cell_angle_beta 90.00
_cell_angle_gamma 90.00
_symmetry_space_group_name_H-M 'I -4 2 d'
_symmetry_Int_Tables_number 122
_symmetry_space_group_name_Hall 'I -4 2bw'
loop_
_atom_site_label
_atom_site_fract_x
_atom_site_fract_y
_atom_site_fract_z
Hf1 0.0000 0.0000 0.0000
Hg1 0.0000 0.0000 0.5000
P1 0.2350 0.2500 0.1250
# Energy relative to the elements ... -236 meV per atom
# Density of states at the Fermi level ... 0.000 states/eV per atom

---

[8]
# Hf6HgP PBE optimized geometry
data_Hf6HgP
_cell_length_a 9.2508
_cell_length_b 9.2508
_cell_length_c 7.2689
_cell_angle_alpha 90.00
_cell_angle_beta 90.00
_cell_angle_gamma 120.00
_symmetry_space_group_name_H-M 'R -3 m'
_symmetry_Int_Tables_number 166
_symmetry_space_group_name_Hall '-R 3 2"'
loop_
_atom_site_label
_atom_site_fract_x
_atom_site_fract_y
_atom_site_fract_z
Hf1 0.0483 0.5241 0.3073
Hg1 0.0000 0.0000 0.0000
P1 0.0000 0.0000 0.5000
# Energy relative to the elements ... -116 meV per atom
# Density of states at the Fermi level ... 0.731 states/eV per atom

---

Which value of density of states at the Fermi level does entry 7 give?
0.000 states/eV per atom

---

Repeat the second record exactly.
# HfTcHgOs2 PBE optimized geometry
data_HfTcHgOs2
_cell_length_a 4.6607
_cell_length_b 4.6607
_cell_length_c 4.9801
_cell_angle_alpha 90.00
_cell_angle_beta 90.00
_cell_angle_gamma 90.00
_symmetry_space_group_name_H-M 'P 4/m m m'
_symmetry_Int_Tables_number 123
_symmetry_space_group_name_Hall '-P 4 2'
loop_
_atom_site_label
_atom_site_fract_x
_atom_site_fract_y
_atom_site_fract_z
Hf1 0.0000 0.0000 0.0000
Tc1 0.5000 0.5000 0.5000
Hg1 0.5000 0.5000 0.0000
Os1 0.0000 0.5000 0.5000
# Energy relative to the elements ... 1518 meV per atom
# Density of states at the Fermi level ... 0.944 states/eV per atom

---

Which value of density of states at the Fermi level does entry 7 give?
0.000 states/eV per atom